Here is crystalline AlCrIrO6 at its relaxed geometry from Alexandria. Energies are from GGA+U.

a = 4.5037 Å, b = 4.5037 Å, c = 9.0328 Å
α = 90.00°, β = 90.00°, γ = 90.00°
Fractional positions:
Al 0.0000 0.0000 0.0000
Al 0.5000 0.5000 0.5000
Cr 0.0000 0.0000 0.6676
Cr 0.5000 0.5000 0.1676
Ir 0.0000 0.0000 0.3333
Ir 0.5000 0.5000 0.8333
O 0.1920 0.1920 0.1633
O 0.1979 0.1979 0.8388
O 0.2014 0.2014 0.4998
O 0.2986 0.7014 0.9998
O 0.3021 0.6979 0.3388
O 0.3080 0.6920 0.6633
O 0.6920 0.3080 0.6633
O 0.6979 0.3021 0.3388
O 0.7014 0.2986 0.9998
O 0.7986 0.7986 0.4998
O 0.8021 0.8021 0.8388
O 0.8080 0.8080 0.1633

Fermi-level density of states in states/eV per atom: 0.313
Calculated total energy in eV per atom: -7.1833
Space group: P4_2nm, No. 102